(1)
The following is a DFT calculation (PBE-GGA) of an optimized crystal structure of Ce2TiTl2S6.

Geometry as POSCAR:
```
Ce2TiTl2S6
1.0
3.440 -5.873 0.000
3.440 5.873 0.000
-2.301 0.000 7.519
Ce Ti Tl S
2 1 2 6
direct
0.166 0.834 0.000
0.834 0.166 0.000
0.500 0.500 0.000
0.330 0.670 0.500
0.670 0.330 0.500
0.130 0.435 0.809
0.267 0.267 0.194
0.435 0.130 0.809
0.565 0.870 0.191
0.733 0.733 0.806
0.870 0.565 0.191
```

Results
The calculation puts the total moment at 2.024 μB per formula unit. As for the total energy: -5.828 eV per atom. The space-group type is C2/m, No. 12.

(2)
The following is a DFT calculation (PBE-GGA) of an optimized crystal structure of Nd2MgAlAu6.

Geometry as POSCAR:
```
Nd2MgAlAu6
1.0
5.449 0.000 0.000
-1.888 6.369 0.000
-1.958 -0.673 6.443
Nd Mg Al Au
2 1 1 6
direct
0.035 0.226 0.232
0.965 0.774 0.768
0.500 0.500 0.000
0.500 0.000 0.500
0.004 0.252 0.749
0.345 0.605 0.596
0.499 0.865 0.156
0.501 0.135 0.844
0.655 0.395 0.404
0.996 0.748 0.251
```

Results
The calculation puts the total moment at 0.000 μB per formula unit. The energy of formation is -526 meV per atom. The space-group type is P-1, No. 2.